Below is crystalline LaNiBPt2 at its relaxed geometry, with properties calculated at the PBE level.

## Properties
Energy   -32.4 eV/f.u.
Space group   P4/mmm, No. 123
Formation energy   -583 meV/atom
ρ   12157 kg/m3

Cell lengths 4.438, 4.438, 4.151 Å; angles 90.00, 90.00, 90.00 degrees
Element x y z (fractional)
B 0.000 0.000 0.000
Pt 0.500 0.000 0.000
Pt 0.000 0.500 0.000
Ni 0.000 0.000 0.500
La 0.500 0.500 0.500